Record 1
YSiHg2 | GGA-PBE | relaxed

Cell: 4.548 5.673 7.222 Å, 90.00 90.00 90.00°
Space group Cmm2 (No. 35)
Asymmetric unit:
Y 0.000 0.000 0.000 (multiplicity 2)
Si 0.000 0.500 0.761 (multiplicity 2)
Hg 0.000 0.000 0.549 (multiplicity 2)
Hg 0.000 0.500 0.285 (multiplicity 2)

---

Record 2
Y2SiHg2 | GGA-PBE | relaxed

Cell: 7.854 7.854 4.297 Å, 90.00 90.00 90.00°
Space group P4/mbm (No. 127)
Asymmetric unit:
Y 0.167 0.333 0.000 (multiplicity 4)
Si 0.000 0.000 0.000 (multiplicity 2)
Hg 0.139 0.639 0.500 (multiplicity 4)

---

Record 3
YSiHg2 | GGA-PBE | relaxed

Cell: 9.827 4.227 5.294 Å, 90.00 121.39 90.00°
Space group Cm (No. 8)
Asymmetric unit:
Y 0.000 0.000 0.000 (multiplicity 2)
Si 0.280 0.000 0.611 (multiplicity 2)
Hg 0.086 0.500 0.614 (multiplicity 2)
Hg 0.295 0.500 0.280 (multiplicity 2)

---

Record 4
YSi2Hg2 | GGA-PBE | relaxed

Cell: 4.793 4.793 9.779 Å, 90.00 90.00 90.00°
Space group I4/mmm (No. 139)
Asymmetric unit:
Y 0.000 0.000 0.000 (multiplicity 2)
Si 0.000 0.500 0.250 (multiplicity 4)
Hg 0.000 0.000 0.361 (multiplicity 4)

---

Record 5
YSi2Hg2 | GGA-PBE | relaxed

Cell: 4.222 4.222 12.088 Å, 90.00 90.00 90.00°
Space group I4/mmm (No. 139)
Asymmetric unit:
Y 0.000 0.000 0.000 (multiplicity 2)
Si 0.000 0.000 0.405 (multiplicity 4)
Hg 0.000 0.500 0.250 (multiplicity 4)

---

Record 6
YZrSi2Hg | GGA-PBE | relaxed

Cell: 5.089 5.089 5.571 Å, 90.00 90.00 90.00°
Space group P4/mmm (No. 123)
Asymmetric unit:
Y 0.000 0.000 0.000 (multiplicity 1)
Zr 0.000 0.000 0.500 (multiplicity 1)
Si 0.000 0.500 0.500 (multiplicity 2)
Hg 0.500 0.500 0.000 (multiplicity 1)

---

Record 7
Zn2SiHg | GGA-PBE | relaxed

Cell: 3.228 4.363 5.328 Å, 90.00 90.00 90.00°
Space group Pmmm (No. 47)
Asymmetric unit:
Zn 0.000 0.000 0.000 (multiplicity 1)
Zn 0.500 0.000 0.500 (multiplicity 1)
Si 0.000 0.500 0.500 (multiplicity 1)
Hg 0.500 0.500 0.000 (multiplicity 1)

---

Record 8
Zn2SiHg | GGA-PBE | relaxed

Cell: 5.591 5.591 13.463 Å, 90.00 90.00 90.00°
Space group I-42d (No. 122)
Asymmetric unit:
Zn 0.157 0.250 0.125 (multiplicity 8)
Si 0.000 0.000 0.000 (multiplicity 4)
Hg 0.000 0.000 0.500 (multiplicity 4)

---

Record 9
ZnSiHg3 | GGA-PBE | relaxed

Cell: 5.117 5.117 5.117 Å, 90.00 90.00 90.00°
Space group Pm-3m (No. 221)
Asymmetric unit:
Zn 0.000 0.000 0.000 (multiplicity 1)
Si 0.500 0.500 0.500 (multiplicity 1)
Hg 0.000 0.000 0.500 (multiplicity 3)

---

Record 10
ZnSi2Hg | GGA-PBE | relaxed

Cell: 4.301 4.301 16.763 Å, 90.00 90.00 90.00°
Space group I-42d (No. 122)
Asymmetric unit:
Zn 0.000 0.000 0.000 (multiplicity 4)
Si 0.175 0.250 0.125 (multiplicity 8)
Hg 0.000 0.000 0.500 (multiplicity 4)

---

Record 11
ZnSi2Hg | GGA-PBE | relaxed

Cell: 2.749 5.172 10.459 Å, 90.00 90.00 90.00°
Space group Imm2 (No. 44)
Asymmetric unit:
Zn 0.000 0.000 0.000 (multiplicity 2)
Si 0.000 0.000 0.564 (multiplicity 2)
Si 0.000 0.500 0.272 (multiplicity 2)
Hg 0.000 0.500 0.772 (multiplicity 2)

---

Record 12
Zn2SiHg | GGA-PBE | relaxed

Cell: 10.279 2.691 5.421 Å, 90.00 103.56 90.00°
Space group Cm (No. 8)
Asymmetric unit:
Zn 0.000 0.000 0.000 (multiplicity 2)
Zn 0.224 0.500 0.255 (multiplicity 2)
Si 0.461 0.000 0.444 (multiplicity 2)
Hg 0.243 0.000 0.764 (multiplicity 2)

---

The evaluated raw formation energy for the records listed, in turn: -0.097, -0.207, -0.152, 0.131, -0.039, 0.554, 0.356, 0.314, 0.651, 0.401, 0.457, 0.288 eV/atom.
The evaluated ρ for the records listed, in turn: 9.2, 7.6, 9.2, 8.1, 8.4, 5.0, 8.0, 5.7, 8.6, 6.9, 7.2, 8.2 g/cm³.
The evaluated raw total energy for the records listed, in turn: -25.759, -39.984, -26.194, -34.518, -36.215, -23.392, -6.848, -28.061, -4.345, -43.264, -21.184, -14.243 eV/cell.